(1)
LuTlZnCo: optimized geometry, PBE.

Theoretical density ... 11.48 g/cm3
Total magnetization ... 1.00 μB/f.u.
Energy ... -3.776 eV per atom
Space-group type ... No. 216
Relative energy among the computed polymorphs ... 0.000 eV per formula unit

POSCAR file:
```
LuTlZnCo
1.0
0.0000 3.3146 3.3146
3.3146 0.0000 3.3146
3.3146 3.3146 0.0000
Lu Tl Zn Co
1 1 1 1
direct
0.0000 0.0000 0.0000
0.5000 0.5000 0.5000
0.2500 0.2500 0.2500
0.7500 0.7500 0.7500
```


(2)
YMgCoBi: optimized geometry, PBE.

Theoretical density ... 7.27 g/cm3
Total magnetization ... 0.95 μB/f.u.
Energy ... -4.684 eV per atom
Space-group type ... No. 216
Relative energy among the computed polymorphs ... 0.366 eV per formula unit

POSCAR file:
```
YMgCoBi
1.0
0.0000 3.5179 3.5179
3.5179 0.0000 3.5179
3.5179 3.5179 0.0000
Y Mg Co Bi
1 1 1 1
direct
0.0000 0.0000 0.0000
0.7500 0.7500 0.7500
0.5000 0.5000 0.5000
0.2500 0.2500 0.2500
```


(3)
PrMg2: optimized geometry, PBE.

Theoretical density ... 3.85 g/cm3
Total magnetization ... 0.01 μB/f.u.
Energy ... -2.664 eV per atom
Space-group type ... No. 59

POSCAR file:
```
PrMg2
1.0
4.9613 0.0000 0.0000
0.0000 13.7159 0.0000
0.0000 0.0000 4.8096
Pr Mg
4 8
direct
0.2500 0.0799 0.0057
0.2500 0.4201 0.0057
0.7500 0.5799 0.9943
0.7500 0.9201 0.9943
0.2500 0.2500 0.5067
0.2500 0.5970 0.4976
0.2500 0.7500 0.9942
0.2500 0.9030 0.4976
0.7500 0.0970 0.5024
0.7500 0.2500 0.0058
0.7500 0.4030 0.5024
0.7500 0.7500 0.4933
```


(4)
DyY2Co6Ni3: optimized geometry, PBE.

Theoretical density ... 8.40 g/cm3
Energy of formation ... -0.240 eV per atom
Total magnetization ... 6.85 μB/f.u.
Energy ... -6.646 eV per atom
Space-group type ... No. 166

POSCAR file:
```
DyY2Co6Ni3
1.0
2.4552 1.4175 8.2384
-2.4552 1.4175 8.2384
0.0000 -2.8350 8.2384
Dy Y Co Ni
1 2 6 3
direct
0.0000 0.0000 0.0000
0.1389 0.1389 0.1389
0.8611 0.8611 0.8611
0.0805 0.5809 0.5809
0.4191 0.4191 0.9195
0.4191 0.9195 0.4191
0.5809 0.0805 0.5809
0.5809 0.5809 0.0805
0.9195 0.4191 0.4191
0.3333 0.3333 0.3333
0.5000 0.5000 0.5000
0.6667 0.6667 0.6667
```


(5)
Te2Os: optimized geometry, PBE.

Theoretical density ... 9.37 g/cm3
Total magnetization ... 0.00 μB/f.u.
Energy ... -5.845 eV per atom
Space-group type ... No. 31

POSCAR file:
```
Te2Os
1.0
3.8441 0.0000 0.0000
0.0000 6.1604 0.0000
0.0000 0.0000 13.3355
Te Os
8 4
direct
0.0000 0.1258 0.0000
0.0000 0.3714 0.4600
0.0000 0.6811 0.2258
0.0000 0.8147 0.7655
0.5000 0.1853 0.2655
0.5000 0.3189 0.7258
0.5000 0.6286 0.9600
0.5000 0.8742 0.5000
0.0000 0.4145 0.8595
0.0000 0.9714 0.3659
0.5000 0.0286 0.8659
0.5000 0.5855 0.3595
```


(6)
BaCdHgTe3: optimized geometry, PBE.

Theoretical density ... 6.80 g/cm3
Energy ... -2.764 eV per atom
Space-group type ... No. 63
Relative energy among the computed polymorphs ... 0.000 eV per formula unit

POSCAR file:
```
BaCdHgTe3
1.0
2.2723 -7.4549 0.0000
2.2723 7.4549 0.0000
0.0000 0.0000 12.0043
Ba Cd Hg Te
2 2 2 6
direct
0.2360 0.7640 0.7500
0.7640 0.2360 0.2500
0.0000 0.0000 0.0000
0.0000 0.0000 0.5000
0.4662 0.5338 0.2500
0.5338 0.4662 0.7500
0.0850 0.9150 0.2500
0.3641 0.6359 0.0495
0.3641 0.6359 0.4505
0.6359 0.3641 0.5495
0.6359 0.3641 0.9505
0.9150 0.0850 0.7500
```


(7)
MgPdNO: optimized geometry, PBE.

Theoretical density ... 6.43 g/cm3
Energy ... -5.446 eV per atom
Space-group type ... No. 129
Relative energy among the computed polymorphs ... 0.796 eV per formula unit

POSCAR file:
```
MgPdNO
1.0
4.4836 0.0000 0.0000
0.0000 4.4836 0.0000
0.0000 0.0000 4.1313
Mg Pd N O
2 2 2 2
direct
0.2500 0.7500 0.0000
0.7500 0.2500 0.0000
0.2500 0.2500 0.4989
0.7500 0.7500 0.5011
0.2500 0.2500 0.9985
0.7500 0.7500 0.0015
0.2500 0.7500 0.5000
0.7500 0.2500 0.5000
```


(8)
RbGdPO: optimized geometry, PBE.

Theoretical density ... 4.40 g/cm3
Total magnetization ... 0.00 μB/f.u.
Energy ... -5.451 eV per atom
Space-group type ... No. 26
Relative energy among the computed polymorphs ... 0.000 eV per formula unit

POSCAR file:
```
RbGdPO
1.0
3.4974 0.0000 0.0000
0.0000 7.9971 0.0000
0.0000 0.0000 7.8249
Rb Gd P O
2 2 2 2
direct
0.0000 0.0511 0.0000
0.0000 0.9489 0.5000
0.5000 0.3782 0.3663
0.5000 0.6218 0.8663
0.5000 0.3014 0.7195
0.5000 0.6986 0.2195
0.0000 0.2484 0.2879
0.0000 0.7516 0.7879
```


(9)
Ta4SnPN2: optimized geometry, PBE.

Theoretical density ... 12.89 g/cm3
Total magnetization ... 0.01 μB/f.u.
Energy ... -9.761 eV per atom
Space-group type ... No. 187

POSCAR file:
```
Ta4SnPN2
1.0
3.2709 0.0000 0.0000
-1.6354 2.8327 0.0000
0.0000 0.0000 12.5329
Ta Sn P N
4 1 1 2
direct
0.0000 0.0000 0.1371
0.0000 0.0000 0.8629
0.3333 0.6667 0.3152
0.3333 0.6667 0.6848
0.0000 0.0000 0.5000
0.3333 0.6667 0.0000
0.6667 0.3333 0.2333
0.6667 0.3333 0.7667
```


(10)
NaZrPdS3: optimized geometry, PBE.

Theoretical density ... 4.28 g/cm3
Total magnetization ... 0.02 μB/f.u.
Energy ... -5.707 eV per atom
Space-group type ... No. 62

POSCAR file:
```
NaZrPdS3
1.0
12.9811 0.0000 0.0000
0.0000 3.7009 0.0000
0.0000 0.0000 10.2406
Na Zr Pd S
4 4 4 12
direct
0.2298 0.2500 0.0562
0.2702 0.7500 0.5562
0.7298 0.2500 0.4438
0.7702 0.7500 0.9438
0.0113 0.2500 0.3274
0.4887 0.7500 0.8274
0.5113 0.2500 0.1726
0.9887 0.7500 0.6726
0.0111 0.2500 0.9012
0.4889 0.7500 0.4012
0.5111 0.2500 0.5988
0.9889 0.7500 0.0988
0.1023 0.2500 0.5594
0.1187 0.7500 0.8620
0.1369 0.7500 0.2560
0.3631 0.2500 0.7560
0.3813 0.2500 0.3620
0.3977 0.7500 0.0594
0.6023 0.2500 0.9406
0.6187 0.7500 0.6380
0.6369 0.7500 0.2440
0.8631 0.2500 0.7440
0.8813 0.2500 0.1380
0.8977 0.7500 0.4406
```


(11)
CuAg3: optimized geometry, PBE.

Theoretical density ... 9.77 g/cm3
Energy of formation ... 0.067 eV per atom
Energy ... -2.980 eV per atom
Space-group type ... No. 12

POSCAR file:
```
CuAg3
1.0
4.7142 -1.4379 0.0000
4.7142 1.4379 0.0000
-1.8565 0.0000 9.7051
Cu Ag
2 6
direct
0.2463 0.2463 0.1100
0.7537 0.7537 0.8900
0.0108 0.0108 0.7585
0.2557 0.2557 0.6373
0.5000 0.5000 0.0000
0.5000 0.5000 0.5000
0.7443 0.7443 0.3627
0.9892 0.9892 0.2415
```


(12)
CsTm2Mg2As3: optimized geometry, PBE.

Theoretical density ... 5.25 g/cm3
Total magnetization ... 0.00 μB/f.u.
Energy ... -4.087 eV per atom
Space-group type ... No. 115

POSCAR file:
```
CsTm2Mg2As3
1.0
4.6119 0.0000 0.0000
0.0000 4.6119 0.0000
0.0000 0.0000 11.0714
Cs Tm Mg As
1 2 2 3
direct
0.0000 0.0000 0.0000
0.0000 0.5000 0.3514
0.5000 0.0000 0.6486
0.0000 0.5000 0.6689
0.5000 0.0000 0.3311
0.0000 0.0000 0.5000
0.5000 0.5000 0.2105
0.5000 0.5000 0.7895
```


(13)
RbLaNb: optimized geometry, PBE.

Theoretical density ... 4.09 g/cm3
Total magnetization ... 4.82 μB/f.u.
Energy ... -3.754 eV per atom
Space-group type ... No. 216
Relative energy among the computed polymorphs ... 0.000 eV per formula unit

POSCAR file:
```
RbLaNb
1.0
0.0000 4.0070 4.0070
4.0070 0.0000 4.0070
4.0070 4.0070 0.0000
Rb La Nb
1 1 1
direct
0.0000 0.0000 0.0000
0.5000 0.5000 0.5000
0.2500 0.2500 0.2500
```


(14)
SrZnCdGa2: optimized geometry, PBE.

Theoretical density ... 6.09 g/cm3
Energy ... -2.322 eV per atom
Space-group type ... No. 119

POSCAR file:
```
SrZnCdGa2
1.0
-2.2229 2.2229 5.5865
2.2229 -2.2229 5.5865
2.2229 2.2229 -5.5865
Sr Zn Cd Ga
1 1 1 2
direct
0.0000 0.0000 0.0000
0.2500 0.7500 0.5000
0.7500 0.2500 0.5000
0.3871 0.3871 0.0000
0.6129 0.6129 0.0000
```


(15)
LuZnCoNi: optimized geometry, PBE.

Theoretical density ... 9.87 g/cm3
Energy of formation ... -0.056 eV per atom
Total magnetization ... 0.82 μB/f.u.
Energy ... -4.671 eV per atom
Space-group type ... No. 216
Relative energy among the computed polymorphs ... 0.739 eV per formula unit

POSCAR file:
```
LuZnCoNi
1.0
0.0000 3.1113 3.1113
3.1113 0.0000 3.1113
3.1113 3.1113 0.0000
Lu Zn Co Ni
1 1 1 1
direct
0.0000 0.0000 0.0000
0.2500 0.2500 0.2500
0.5000 0.5000 0.5000
0.7500 0.7500 0.7500
```


(16)
Li2Mg2AlSiNi2: optimized geometry, PBE.

Theoretical density ... 3.65 g/cm3
Total magnetization ... 0.00 μB/f.u.
Energy ... -3.723 eV per atom
Space-group type ... No. 115

POSCAR file:
```
Li2Mg2AlSiNi2
1.0
4.2232 0.0000 0.0000
0.0000 4.2232 0.0000
0.0000 0.0000 5.9952
Li Mg Al Si Ni
2 2 1 1 2
direct
0.0000 0.5000 0.2408
0.5000 0.0000 0.7592
0.0000 0.0000 0.0000
0.5000 0.5000 0.5000
0.0000 0.0000 0.5000
0.5000 0.5000 0.0000
0.0000 0.5000 0.7614
0.5000 0.0000 0.2386
```


(17)
HoPd: optimized geometry, PBE.

Theoretical density ... 9.98 g/cm3
Energy of formation ... -0.667 eV per atom
Total magnetization ... 0.00 μB/f.u.
Energy ... -5.543 eV per atom
Space-group type ... No. 187

POSCAR file:
```
HoPd
1.0
3.6603 0.0000 0.0000
-1.8302 3.1699 0.0000
0.0000 0.0000 3.8919
Ho Pd
1 1
direct
0.0000 0.0000 0.0000
0.6667 0.3333 0.5000
```


(18)
UCdMo: optimized geometry, PBE.

Theoretical density ... 10.73 g/cm3
Energy of formation ... 0.934 eV per atom
Total magnetization ... 0.84 μB/f.u.
Energy ... -6.746 eV per atom
Space-group type ... No. 216
Relative energy among the computed polymorphs ... 0.000 eV per formula unit

POSCAR file:
```
UCdMo
1.0
0.0000 3.2563 3.2563
3.2563 0.0000 3.2563
3.2563 3.2563 0.0000
U Cd Mo
1 1 1
direct
0.0000 0.0000 0.0000
0.5000 0.5000 0.5000
0.7500 0.7500 0.7500
```


(19)
NaThSn: optimized geometry, PBE.

Theoretical density ... 6.06 g/cm3
Total magnetization ... 0.00 μB/f.u.
Energy ... -3.920 eV per atom
Space-group type ... No. 216
Relative energy among the computed polymorphs ... 0.949 eV per formula unit

POSCAR file:
```
NaThSn
1.0
0.0000 3.7135 3.7135
3.7135 0.0000 3.7135
3.7135 3.7135 0.0000
Na Th Sn
1 1 1
direct
0.0000 0.0000 0.0000
0.2500 0.2500 0.2500
0.5000 0.5000 0.5000
```


(20)
DyEr2FeCo2Ni6: optimized geometry, PBE.

Theoretical density ... 9.85 g/cm3
Energy of formation ... -0.302 eV per atom
Total magnetization ... 6.37 μB/f.u.
Energy ... -6.106 eV per atom
Space-group type ... No. 166

POSCAR file:
```
DyEr2FeCo2Ni6
1.0
2.4907 1.4380 8.0204
-2.4907 1.4380 8.0204
0.0000 -2.8760 8.0204
Dy Er Fe Co Ni
1 2 1 2 6
direct
0.0000 0.0000 0.0000
0.1388 0.1388 0.1388
0.8612 0.8612 0.8612
0.5000 0.5000 0.5000
0.3336 0.3336 0.3336
0.6664 0.6664 0.6664
0.0822 0.5833 0.5833
0.4167 0.4167 0.9178
0.4167 0.9178 0.4167
0.5833 0.0822 0.5833
0.5833 0.5833 0.0822
0.9178 0.4167 0.4167
```